No. 1
## Li8In2Sn (GGA-PBE)

Data for a geometry-optimized Li8In2Sn structure.

- Spin magnetization: 0.00 μB/f.u.
- Volume: 402.4 Å³/cell
- ΔH_f (0 K): -0.309 eV/atom
- Calculated total energy: -28.19 eV per formula unit
- ΔE to the lowest computed polymorph: 0.0 meV per atom

Cell: 15.6981 4.6996 5.4549 Å, 90.00 90.29 90.00°
With the nearest neighbours (Å) after each atom.
Space group C2/m (No. 12)
Inequivalent atoms, fractional coordinates:
Li: 0.0402 0.0000 0.2421 [4 per cell]  5 Li 2.70-2.92, 2 Sn 2.81, 1 In 2.83
Li: 0.0931 0.5000 0.9630 [4 per cell]  6 Li 2.81-2.95, 1 Sn 2.91, 1 In 3.04
Li: 0.1339 0.0000 0.6575 [4 per cell]  7 Li 2.70-2.95, 1 In 2.89
Li: 0.1824 0.5000 0.4112 [4 per cell]  4 Li 2.81-2.91, 3 In 2.85-2.95, 1 Sn 2.91
In: 0.2162 0.0000 0.1320 [4 per cell]  7 Li 2.83-3.15, 2 In 2.96
Sn: 0.0000 0.5000 0.5000 [2 per cell]  8 Li 2.81-2.91

No. 2
## Ac2PrNd3Se6 (GGA-PBE)

Data for a geometry-optimized Ac2PrNd3Se6 structure.

- Spin magnetization: 0.00 μB/f.u.
- Energy relative to the elements, uncorrected: -1.8446 eV per atom
- Volume: 682.0 Å³/cell
- Calculated total energy: -70.34 eV per formula unit

Cell: 7.4490 12.9574 7.4950 Å, 90.00 109.48 90.00°
With the nearest neighbours (Å) after each atom.
Space group C2/m (No. 12)
Inequivalent atoms, fractional coordinates:
Ac: 0.0000 0.1658 0.0000 [4 per cell]  6 Se 3.11
Pr: 0.0000 0.5000 0.0000 [2 per cell]  6 Se 3.06-3.07
Nd: 0.0000 0.0000 0.5000 [2 per cell]  6 Se 3.00-3.04
Nd: 0.0000 0.3319 0.5000 [4 per cell]  6 Se 2.99-3.03
Se: 0.2399 0.5000 0.7374 [4 per cell]  3 Nd 3.00-3.04, 1 Pr 3.07, 2 Ac 3.11
Se: 0.2496 0.1642 0.7402 [8 per cell]  3 Nd 2.99-3.03, 1 Pr 3.06, 2 Ac 3.11

Q: What is the formula in the second record?
A: Ac2PrNd3Se6

Q: What is the formula in the second record?
A: Ac2PrNd3Se6